Here is a geometry-optimized Mg2TaAl structure from Alexandria via LeMat-Bulk. Energies are from GGA-PBEsol.

Cell: 3.0410 4.7687 4.9836 Å, 90.00 90.00 90.00°
Fractional coordinates of all 4 atoms:
Mg 0.0000 0.0000 0.0000
Mg 0.5000 0.5000 0.0000
Ta 0.5000 0.0000 0.5000
Al 0.0000 0.5000 0.5000

- energy above the lowest structure with this stoichiometry (meV per atom) = 129.8
- mass density (g/cm³) = 5.89
- energy of formation (kJ/mol of atoms) = 18.0

***

Here is a geometry-optimized Mg3Ta2Al18 structure from Alexandria via LeMat-Bulk. Energies are from GGA-PBEsol.

Cell: 10.4211 10.4211 10.4211 Å, 60.00 60.00 60.00°
Fractional coordinates of all 46 atoms:
Mg 0.1250 0.6250 0.1250
Mg 0.1250 0.1250 0.6250
Mg 0.2500 0.2500 0.2500
Mg 0.0000 0.0000 0.0000
Mg 0.1250 0.1250 0.1250
Mg 0.6250 0.1250 0.1250
Al 0.6415 0.6415 0.3585
Al 0.6085 0.8915 0.8915
Al 0.3585 0.3585 0.6415
Al 0.0669 0.8018 0.3294
Al 0.8915 0.6085 0.6085
Al 0.6085 0.8915 0.6085
Al 0.8018 0.0669 0.3294
Al 0.6085 0.6085 0.8915
Al 0.8018 0.8018 0.0669
Al 0.8018 0.3294 0.0669
Al 0.8018 0.3294 0.8018
Al 0.9206 0.4482 0.1831
Al 0.4482 0.4482 0.1831
Al 0.0669 0.3294 0.8018
Al 0.1831 0.4482 0.9206
Al 0.3585 0.6415 0.6415
Al 0.9206 0.1831 0.4482
Al 0.6415 0.3585 0.6415
Al 0.8018 0.0669 0.8018
Al 0.9206 0.4482 0.4482
Al 0.3294 0.8018 0.0669
Al 0.4482 0.9206 0.4482
Al 0.8915 0.8915 0.6085
Al 0.3294 0.0669 0.8018
Al 0.4482 0.1831 0.9206
Al 0.4482 0.4482 0.9206
Al 0.3294 0.8018 0.8018
Al 0.4482 0.9206 0.1831
Al 0.6415 0.3585 0.3585
Al 0.4482 0.1831 0.4482
Al 0.1831 0.4482 0.4482
Al 0.8018 0.8018 0.3294
Al 0.3585 0.6415 0.3585
Al 0.0669 0.8018 0.8018
Al 0.1831 0.9206 0.4482
Al 0.8915 0.6085 0.8915
Ta 0.6250 0.6250 0.6250
Ta 0.6250 0.1250 0.6250
Ta 0.1250 0.6250 0.6250
Ta 0.6250 0.6250 0.1250

- mass density (g/cm³) = 3.82
- energy of formation (kJ/mol of atoms) = -12.2

***

Here is a geometry-optimized MgAlTc2 structure from Alexandria via LeMat-Bulk. Energies are from GGA-PBEsol.

Cell: 2.6265 4.9671 4.9671 Å, 114.31 90.00 90.00°
Fractional coordinates of all 4 atoms:
Mg 0.5000 0.5000 0.5000
Al 0.5000 0.0000 0.0000
Tc 0.0000 0.0000 0.5000
Tc 0.0000 0.5000 0.0000

- energy above the lowest structure with this stoichiometry (meV per atom) = 90.1
- mass density (g/cm³) = 6.95
- energy of formation (kJ/mol of atoms) = 16.5

***

Here is a geometry-optimized MgAlTc2 structure from Alexandria via LeMat-Bulk. Energies are from GGA-PBEsol.

Cell: 3.1602 4.2796 4.3283 Å, 90.00 90.00 90.00°
Fractional coordinates of all 4 atoms:
Mg 0.0000 0.5000 0.5000
Tc 0.5000 0.0000 0.5000
Tc 0.0000 0.0000 0.0000
Al 0.5000 0.5000 0.0000

- energy above the lowest structure with this stoichiometry (meV per atom) = 0.0
- mass density (g/cm³) = 7.01
- energy of formation (kJ/mol of atoms) = 7.8